# 1
Computed, not measured: MgHg6F12 after structural relaxation at the GGA-PBE level of DFT.

- DOS(E_F) (states/eV/f.u.) = 2.32
- mass density (g/cm³) = 7.9
- raw formation energy (kJ/mol of formula units) = -3029
- crystal system = trigonal

Cell lengths 10.3770, 10.3770, 9.8479 Å; angles 90.00, 90.00, 120.00 degrees
Space group R-3 (No. 148, hexagonal axes)
Inequivalent atoms, fractional coordinates:
Mg  0.0000  0.0000  0.0000
Hg  0.0532  0.2646  0.6557
F  0.0336  0.2245  0.4005
F  0.0420  0.1859  0.8919

# 2
Computed, not measured: Mg2HgF2 after structural relaxation at the GGA-PBE level of DFT.

- energy above the lowest structure with this stoichiometry (meV/atom) = 109.4
- DOS(E_F) (states/eV/f.u.) = 1.27
- mass density (g/cm³) = 5.7
- raw formation energy (kJ/mol of formula units) = -724
- crystal system = tetragonal

Cell lengths 7.667, 7.667, 2.851 Å; angles 90.00, 90.00, 90.00 degrees
Space group P4/mbm (No. 127)
Inequivalent atoms, fractional coordinates:
Mg  0.130  0.370  0.000
Hg  0.000  0.000  0.500
F  0.104  0.604  0.500

# 3
Computed, not measured: MgHg2F after structural relaxation at the GGA-PBE level of DFT.

- energy above the lowest structure with this stoichiometry (meV/atom) = 0.0
- DOS(E_F) (states/eV/f.u.) = 1.21
- mass density (g/cm³) = 8.8
- raw formation energy (kJ/mol of formula units) = -273
- crystal system = tetragonal

Cell lengths 7.712, 7.712, 5.663 Å; angles 90.00, 90.00, 90.00 degrees
Space group I-42d (No. 122)
Inequivalent atoms, fractional coordinates:
Mg  0.000  0.000  0.000
Hg  0.237  0.250  0.625
F  0.000  0.000  0.500

# 4
Computed, not measured: Mg2HgF after structural relaxation at the GGA-PBE level of DFT.

- energy above the lowest structure with this stoichiometry (meV/atom) = 358.3
- DOS(E_F) (states/eV/f.u.) = 1.35
- mass density (g/cm³) = 5.8
- raw formation energy (kJ/mol of formula units) = -307
- crystal system = cubic

Cell lengths 6.738, 6.738, 6.738 Å; angles 90.00, 90.00, 90.00 degrees
Space group Fm-3m (No. 225)
Inequivalent atoms, fractional coordinates:
Mg  0.250  0.250  0.250
Hg  0.000  0.000  0.000
F  0.000  0.000  0.500